Below is a relaxed BiNF2 crystal, with properties calculated at the GGA-PBEsol level.

As for the uncorrected energy: -4.03 eV per atom. The value obtained for the total magnetization is 2.948 μB/f.u.

The structure belongs to space group R-3m (No. 166, hexagonal axes); the cell edges are 3.3625, 3.3625 and 26.7865 Å and the angles 90.00°, 90.00° and 120.00°. The distinct sites, in fractional coordinates, are Bi at (0.0000, 0.0000, 0.0000), N at (0.0000, 0.0000, 0.5000) and F at (0.0000, 0.0000, 0.3913).